# PBE-GGA Nd2SmPa, optimized geometry
# * ΔE_f: 0.66 eV/f.u.
# * Fermi-level density of states: 1.495 states/eV/atom
# * raw total energy: -23.1 eV/cell
data_Nd2SmPa
_space_group_name_H-M_alt 'P 1'
_space_group_IT_number 1
_space_group_name_Hall 'P 1'
_cell_length_a 3.459
_cell_length_b 3.459
_cell_length_c 10.593
_cell_angle_alpha 90.00
_cell_angle_beta 90.00
_cell_angle_gamma 90.00
loop_
_atom_site_label
_atom_site_fract_x
_atom_site_fract_y
_atom_site_fract_z
_atom_site_occupancy
Nd1 0.000 0.000 0.229 1
Nd2 0.000 0.000 0.771 1
Sm1 0.500 0.500 0.500 1
Pa1 0.500 0.500 0.000 1